ReBTe2I | PBE | optimized geometry

Values from the calculation:
VASP energy, eV per cell: -19.40
ΔE_f (raw), eV per atom: 1.513
DOS at the Fermi energy, states/eV per atom: 0.789

Structure (CIF):
```
data_ReBTe2I
_chemical_formula_sum 'Re1 B1 Te2 I1'
_cell_length_a 5.134
_cell_length_b 5.134
_cell_length_c 5.854
_cell_angle_alpha 90.00
_cell_angle_beta 90.00
_cell_angle_gamma 90.00
_symmetry_space_group_name_H-M 'P 4/m m m'
_symmetry_Int_Tables_number 123
_symmetry_space_group_name_Hall '-P 4 2'
loop_
_atom_site_label
_atom_site_type_symbol
_atom_site_fract_x
_atom_site_fract_y
_atom_site_fract_z
Re1 Re 0.000 0.000 0.000
B1 B 0.500 0.500 0.500
Te1 Te 0.000 0.500 0.000
I1 I 0.000 0.000 0.500
```